[1]
Compound: GdBiRhAu
Source: Alexandria
Functional: PBE-GGA
Structure: optimized geometry

abc: 7.044 7.044 7.044
angles: 90.00 90.00 90.00
Fractional positions:
Gd1 0.000 0.000 0.000
Gd2 0.000 0.500 0.500
Gd3 0.500 0.000 0.500
Gd4 0.500 0.500 0.000
Bi1 0.000 0.000 0.500
Bi2 0.000 0.500 0.000
Bi3 0.500 0.000 0.000
Bi4 0.500 0.500 0.500
Rh1 0.250 0.250 0.750
Rh2 0.250 0.750 0.250
Rh3 0.750 0.250 0.250
Rh4 0.750 0.750 0.750
Au1 0.250 0.250 0.250
Au2 0.250 0.750 0.750
Au3 0.750 0.250 0.750
Au4 0.750 0.750 0.250

Values from the calculation:
As for the symmetry: No. 216. As for the electronic total energy: -7.635 eV/atom. The magnetic moment is 28.7 μB/cell.



[2]
Compound: LaCdGa2Au4
Source: Alexandria
Functional: PBE-GGA
Structure: optimized geometry

abc: 9.936 9.936 9.936
angles: 26.25 26.25 26.25
Fractional positions:
La1 0.000 0.000 0.000
Cd1 0.500 0.500 0.500
Ga1 0.247 0.247 0.247
Ga2 0.753 0.753 0.753
Au1 0.123 0.123 0.123
Au2 0.395 0.395 0.395
Au3 0.605 0.605 0.605
Au4 0.877 0.877 0.877

Values from the calculation:
As for the symmetry: No. 166. As for the electronic total energy: -3.551 eV/atom. The magnetic moment is 0.0 μB/cell.



magnetic moment of number 2 (LaCdGa2Au4)? 0.0 μB/cell



Please write out number 2 again, unchanged.
Compound: LaCdGa2Au4
Source: Alexandria
Functional: PBE-GGA
Structure: optimized geometry

abc: 9.936 9.936 9.936
angles: 26.25 26.25 26.25
Fractional positions:
La1 0.000 0.000 0.000
Cd1 0.500 0.500 0.500
Ga1 0.247 0.247 0.247
Ga2 0.753 0.753 0.753
Au1 0.123 0.123 0.123
Au2 0.395 0.395 0.395
Au3 0.605 0.605 0.605
Au4 0.877 0.877 0.877

Values from the calculation:
As for the symmetry: No. 166. As for the electronic total energy: -3.551 eV/atom. The magnetic moment is 0.0 μB/cell.



What is the magnetic moment in the second record? 0.0 μB/cell